Version one
ZrPPtS2: optimized geometry, PBE-GGA.

Output
- Space group: No. 123
- Calculated volume: 101 Å³/cell

Unit cell a=4.645 b=4.645 c=4.665 alpha=90.00 beta=90.00 gamma=90.00
Fractional positions:
S: 0.500 0.000 0.000
Zr: 0.500 0.500 0.500
S: 0.000 0.500 0.000
Pt: 0.000 0.000 0.000
P: 0.000 0.000 0.500

Version two
ZrPPtS2: optimized geometry, PBE-GGA.

Output
- Space group: No. 123
- Calculated volume: 121 Å³/cell

Unit cell a=4.854 b=4.854 c=5.136 alpha=90.00 beta=90.00 gamma=90.00
Fractional positions:
P: 0.000 0.000 0.500
S: 0.000 0.500 0.000
Zr: 0.000 0.000 0.000
Pt: 0.500 0.500 0.500
S: 0.500 0.000 0.000

In terms of stability, version one leads; the second structure lies 284 meV per atom higher.

Version one
SbPPt2: optimized geometry, PBE-GGA.

Output
- Space group: No. 44
- Calculated volume: 71 Å³/cell

Unit cell a=5.187 b=5.187 c=5.187 alpha=141.18 beta=124.42 gamma=69.85
Fractional positions:
Pt: 0.970 0.970 0.000
Pt: 0.244 0.744 0.500
Sb: 0.507 0.507 0.000
P: 0.779 0.279 0.500

Version two
SbPPt2: optimized geometry, PBE-GGA.

Output
- Space group: No. 71
- Calculated volume: 72 Å³/cell

Unit cell a=5.142 b=5.142 c=5.142 alpha=140.36 beta=122.64 gamma=71.97
Fractional positions:
P: 0.500 0.000 0.500
Pt: 0.288 0.288 0.000
Pt: 0.712 0.712 0.000
Sb: 0.000 0.500 0.500

In terms of stability, version one leads; the second structure lies 120 meV per atom higher.

Version one
SbPPt2: optimized geometry, PBE-GGA.

Output
- Space group: No. 225
- Calculated volume: 70 Å³/cell

Unit cell a=4.623 b=4.623 c=4.623 alpha=60.00 beta=60.00 gamma=60.00
Fractional positions:
Sb: 0.500 0.500 0.500
Pt: 0.250 0.250 0.250
P: 0.000 0.000 0.000
Pt: 0.750 0.750 0.750

Version two
SbPPt2: optimized geometry, PBE-GGA.

Output
- Space group: No. 122
- Calculated volume: 168 Å³/cell

Unit cell a=4.848 b=4.848 c=7.912 alpha=72.16 beta=72.16 gamma=90.00
Fractional positions:
Sb: 0.000 0.000 0.000
Pt: 0.875 0.795 0.750
P: 0.500 0.500 0.000
Sb: 0.750 0.250 0.500
Pt: 0.545 0.125 0.250
Pt: 0.205 0.625 0.250
Pt: 0.375 0.455 0.750
P: 0.250 0.750 0.500

Version three
SbPPt2: optimized geometry, PBE-GGA.

Output
- Space group: No. 6
- Calculated volume: 85 Å³/cell

Unit cell a=3.710 b=4.423 c=5.248 alpha=80.45 beta=90.00 gamma=90.00
Fractional positions:
Pt: 0.500 0.667 0.150
Sb: 0.000 0.598 0.513
P: 0.500 0.193 0.024
Pt: 0.000 0.043 0.813

In terms of stability, version three leads; the second structure lies 27 meV per atom higher.

Version one
SbPPt2: optimized geometry, PBE-GGA.

Output
- Space group: No. 123
- Calculated volume: 70 Å³/cell

Unit cell a=3.158 b=3.158 c=7.030 alpha=90.00 beta=90.00 gamma=90.00
Fractional positions:
Pt: 0.000 0.000 0.702
P: 0.500 0.500 0.500
Sb: 0.500 0.500 0.000
Pt: 0.000 0.000 0.298

Version two
SbPPt2: optimized geometry, PBE-GGA.

Output
- Space group: No. 160
- Calculated volume: 78 Å³/cell

Unit cell a=7.093 b=7.093 c=7.093 alpha=29.81 beta=29.81 gamma=29.81
Fractional positions:
Pt: 0.989 0.989 0.989
Pt: 0.747 0.747 0.747
Sb: 0.491 0.491 0.491
P: 0.273 0.273 0.273

In terms of stability, version two leads; the second structure lies 278 meV per atom higher.

Version one
SbPPt2: optimized geometry, PBE-GGA.

Output
- Space group: No. 123
- Calculated volume: 70 Å³/cell

Unit cell a=4.443 b=4.443 c=3.539 alpha=90.00 beta=90.00 gamma=90.00
Fractional positions:
Pt: 0.000 0.500 0.000
Pt: 0.500 0.000 0.000
Sb: 0.500 0.500 0.500
P: 0.000 0.000 0.500

Version two
SbPPt2: optimized geometry, PBE-GGA.

Output
- Space group: No. 216
- Calculated volume: 70 Å³/cell

Unit cell a=4.637 b=4.637 c=4.637 alpha=60.00 beta=60.00 gamma=60.00
Fractional positions:
Pt: 0.750 0.750 0.750
P: 0.500 0.500 0.500
Sb: 0.250 0.250 0.250
Pt: 0.000 0.000 0.000

Version three
SbPPt2: optimized geometry, PBE-GGA.

Output
- Space group: No. 139
- Calculated volume: 76 Å³/cell

Unit cell a=5.246 b=4.626 c=4.621 alpha=69.12 beta=55.49 gamma=55.39
Fractional positions:
P: 0.500 0.500 0.500
Pt: 0.500 0.000 0.000
Pt: 0.000 0.500 0.500
Sb: 0.000 0.000 0.000

In terms of stability, version three leads; the second structure lies 106 meV per atom higher.

Version one
SbPPt2: optimized geometry, PBE-GGA.

Output
- Space group: No. 65
- Calculated volume: 74 Å³/cell

Unit cell a=4.543 b=4.543 c=3.728 alpha=90.00 beta=90.00 gamma=105.49
Fractional positions:
Pt: 0.214 0.786 0.000
Pt: 0.786 0.214 0.000
P: 0.000 0.000 0.500
Sb: 0.500 0.500 0.500

Version two
SbPPt2: optimized geometry, PBE-GGA.

Output
- Space group: No. 166
- Calculated volume: 74 Å³/cell

Unit cell a=6.430 b=6.430 c=6.430 alpha=33.87 beta=33.87 gamma=33.87
Fractional positions:
Pt: 0.732 0.732 0.732
Sb: 0.500 0.500 0.500
Pt: 0.268 0.268 0.268
P: 0.000 0.000 0.000

In terms of stability, version two leads; the second structure lies 78 meV per atom higher.

Version one
SbPPt2: optimized geometry, PBE-GGA.

Output
- Space group: No. 119
- Calculated volume: 69 Å³/cell

Unit cell a=5.180 b=5.180 c=5.180 alpha=134.67 beta=134.67 gamma=66.05
Fractional positions:
P: 0.750 0.250 0.500
Pt: 0.250 0.750 0.500
Pt: 0.000 0.000 0.000
Sb: 0.500 0.500 0.000

Version two
SbPPt2: optimized geometry, PBE-GGA.

Output
- Space group: No. 8
- Calculated volume: 79 Å³/cell

Unit cell a=4.287 b=4.287 c=6.161 alpha=87.59 beta=87.59 gamma=43.98
Fractional positions:
Pt: 0.211 0.211 0.764
P: 0.754 0.754 0.044
Pt: 0.038 0.038 0.166
Sb: 0.496 0.496 0.527

In terms of stability, version two leads; the second structure lies 465 meV per atom higher.

Version one
SbPPt: optimized geometry, PBE-GGA.

Output
- Space group: No. 107
- Calculated volume: 59 Å³/cell

Unit cell a=6.434 b=6.434 c=6.434 alpha=151.76 beta=151.76 gamma=40.36
Fractional positions:
Sb: 0.321 0.321 0.000
Pt: 0.637 0.637 0.000
P: 0.042 0.042 0.000

Version two
SbPPt: optimized geometry, PBE-GGA.

Output
- Space group: No. 62
- Calculated volume: 250 Å³/cell

Unit cell a=4.363 b=6.763 c=8.475 alpha=90.00 beta=90.00 gamma=90.00
Fractional positions:
P: 0.250 0.427 0.106
Pt: 0.750 0.776 0.455
P: 0.250 0.927 0.394
P: 0.750 0.573 0.894
Sb: 0.250 0.118 0.869
Pt: 0.750 0.276 0.045
P: 0.750 0.073 0.606
Pt: 0.250 0.224 0.545
Sb: 0.750 0.882 0.131
Sb: 0.750 0.382 0.369
Sb: 0.250 0.618 0.631
Pt: 0.250 0.724 0.955

Version three
SbPPt: optimized geometry, PBE-GGA.

Output
- Space group: No. 156
- Calculated volume: 59 Å³/cell

Unit cell a=3.700 b=3.700 c=4.999 alpha=90.00 beta=90.00 gamma=120.00
Fractional positions:
Pt: 0.667 0.333 0.296
P: 0.000 0.000 0.064
Sb: 0.333 0.667 0.641

Version four
SbPPt: optimized geometry, PBE-GGA.

Output
- Space group: No. 198
- Calculated volume: 233 Å³/cell

Unit cell a=6.151 b=6.151 c=6.151 alpha=90.00 beta=90.00 gamma=90.00
Fractional positions:
P: 0.881 0.381 0.119
Pt: 0.481 0.981 0.519
Sb: 0.619 0.881 0.119
P: 0.619 0.619 0.619
Pt: 0.019 0.019 0.019
P: 0.381 0.119 0.881
Sb: 0.381 0.381 0.381
Sb: 0.119 0.619 0.881
Pt: 0.519 0.481 0.981
Sb: 0.881 0.119 0.619
P: 0.119 0.881 0.381
Pt: 0.981 0.519 0.481

In terms of stability, version four leads; the second structure lies 286 meV per atom higher.

Version one
SbPPt: optimized geometry, PBE-GGA.

Output
- Space group: No. 187
- Calculated volume: 60 Å³/cell

Unit cell a=4.122 b=4.122 c=4.045 alpha=90.00 beta=90.00 gamma=120.00
Fractional positions:
Sb: 0.000 0.000 0.000
Pt: 0.667 0.333 0.500
P: 0.333 0.667 0.500

Version two
SbPPt: optimized geometry, PBE-GGA.

Output
- Space group: No. 14
- Calculated volume: 241 Å³/cell

Unit cell a=6.158 b=6.342 c=6.331 alpha=102.53 beta=90.00 gamma=90.00
Fractional positions:
Sb: 0.880 0.154 0.846
P: 0.874 0.637 0.362
Sb: 0.380 0.846 0.654
Pt: 0.980 0.726 0.742
Pt: 0.020 0.274 0.258
P: 0.126 0.363 0.638
Pt: 0.520 0.726 0.242
Pt: 0.480 0.274 0.758
Sb: 0.120 0.846 0.154
P: 0.374 0.363 0.138
Sb: 0.620 0.154 0.346
P: 0.626 0.637 0.862

Version three
SbPPt: optimized geometry, PBE-GGA.

Output
- Space group: No. 187
- Calculated volume: 57 Å³/cell

Unit cell a=4.702 b=4.702 c=2.974 alpha=90.00 beta=90.00 gamma=120.00
Fractional positions:
Pt: 0.333 0.667 0.500
Sb: 0.000 0.000 0.500
P: 0.667 0.333 0.000

Version four
SbPPt: optimized geometry, PBE-GGA.

Output
- Space group: No. 62
- Calculated volume: 256 Å³/cell

Unit cell a=3.988 b=9.965 c=6.442 alpha=90.00 beta=90.00 gamma=90.00
Fractional positions:
P: 0.750 0.479 0.818
Sb: 0.750 0.789 0.950
Sb: 0.750 0.289 0.550
P: 0.750 0.979 0.682
Sb: 0.250 0.211 0.050
Sb: 0.250 0.711 0.450
P: 0.250 0.521 0.182
Pt: 0.250 0.122 0.657
P: 0.250 0.021 0.318
Pt: 0.250 0.622 0.843
Pt: 0.750 0.378 0.157
Pt: 0.750 0.878 0.343

In terms of stability, version two leads; the second structure lies 93 meV per atom higher.

Version one
SbPPt3: optimized geometry, PBE-GGA.

Output
- Space group: No. 221
- Calculated volume: 119 Å³/cell

Unit cell a=4.926 b=4.926 c=4.926 alpha=90.00 beta=90.00 gamma=90.00
Fractional positions:
P: 0.500 0.500 0.500
Sb: 0.000 0.000 0.000
Pt: 0.000 0.500 0.000
Pt: 0.000 0.000 0.500
Pt: 0.500 0.000 0.000

Version two
SbPPt3: optimized geometry, PBE-GGA.

Output
- Space group: No. 221
- Calculated volume: 97 Å³/cell

Unit cell a=4.589 b=4.589 c=4.589 alpha=90.00 beta=90.00 gamma=90.00
Fractional positions:
Pt: 0.000 0.000 0.500
Pt: 0.500 0.000 0.000
P: 0.000 0.000 0.000
Pt: 0.000 0.500 0.000
Sb: 0.500 0.500 0.500

In terms of stability, version two leads; the second structure lies 1117 meV per atom higher.

Version one
Sc2PPt: optimized geometry, PBE-GGA.

Output
- Space group: No. 10
- Calculated volume: 71 Å³/cell

Unit cell a=3.325 b=3.267 c=6.544 alpha=85.11 beta=90.00 gamma=90.00
Fractional positions:
Sc: 0.000 0.960 0.761
P: 0.500 0.500 0.000
Sc: 0.000 0.040 0.239
Pt: 0.500 0.500 0.500

Version two
Sc2PPt: optimized geometry, PBE-GGA.

Output
- Space group: No. 216
- Calculated volume: 69 Å³/cell

Unit cell a=4.602 b=4.602 c=4.602 alpha=60.00 beta=60.00 gamma=60.00
Each line ends with the local moment (μB).
Fractional positions:
P: 0.500 0.500 0.500  -0.01
Sc: 0.750 0.750 0.750  0.45
Sc: 0.000 0.000 0.000  0.26
Pt: 0.250 0.250 0.250  0.07

In terms of stability, version one leads; the second structure lies 686 meV per atom higher.